[1]
Density functional theory data (PBE) for crystalline Rb3Na13 at its relaxed geometry.

## Properties
SG = No. 38
Crystal system = orthorhombic
Density of states at the Fermi level = 7.82 states/eV/f.u.
E_form = 0.69 eV/f.u.

The structure in POSCAR format:
```
Rb3Na13
1.0
10.0679 0.0000 0.0000
0.0000 5.9838 6.1025
0.0000 -5.9838 6.1025
Rb Na
3 13
Direct
0.0000 0.0000 0.0000
0.2650 0.2782 0.2782
0.7350 0.2782 0.2782
0.0000 0.5260 0.9846
0.0000 0.5407 0.5407
0.0000 0.9846 0.5260
0.2548 0.7513 0.7513
0.2769 0.2854 0.7636
0.2769 0.7636 0.2854
0.5000 0.5492 0.5492
0.5000 0.5574 0.9899
0.5000 0.9875 0.9875
0.5000 0.9899 0.5574
0.7231 0.2854 0.7636
0.7231 0.7636 0.2854
0.7452 0.7513 0.7513
```

[2]
Density functional theory data (PBE) for crystalline Zr2InMoH at its relaxed geometry.

## Properties
SG = No. 123
Uncorrected energy = -0.5173 Ry per atom
Crystal system = tetragonal
Density of states at the Fermi level = 2.08 states/eV/f.u.

The structure in POSCAR format:
```
Zr2InMoH
1.0
4.6925 0.0000 0.0000
0.0000 4.6925 0.0000
0.0000 0.0000 3.7853
Zr In Mo H
2 1 1 1
Direct
0.0000 0.5000 0.0000
0.5000 0.0000 0.0000
0.0000 0.0000 0.5000
0.5000 0.5000 0.5000
0.5000 0.5000 0.0000
```